First-principles (PBE+U) data for a relaxed CrCoO crystal, as listed in the Alexandria database.

## Properties
Energy above the lowest structure with this stoichiometry ... 0.81 eV/f.u.

```
CrCoO
1.0
2.896 0.000 0.000
-1.448 2.508 0.000
0.000 0.000 5.214
Cr Co O
1 1 1
Cartesian
0.000 0.000 2.516
1.448 0.836 4.672
1.448 0.836 1.469
```